[1]
{
  "formula": "DyAl4Zn12",
  "functional": "PBE-GGA",
  "state": "relaxed",
  "lattice_angstrom": [[7.6049, 0.0000, 0.0000], [-2.5350, 7.1700, 0.0000], [-2.5350, -3.5850, 6.2094]],
  "species": ["Zn", "Zn", "Zn", "Zn", "Zn", "Zn", "Zn", "Zn", "Zn", "Zn", "Zn", "Zn", "Dy", "Al", "Al", "Al", "Al"],
  "fractional_positions": [[0.3540, 0.2072, 0.8532], [0.6460, 0.4993, 0.8532], [0.8532, 0.3540, 0.2072], [0.8532, 0.6460, 0.4993], [0.3540, 0.5007, 0.1468], [0.4993, 0.8532, 0.6460], [0.6460, 0.7928, 0.1468], [0.2072, 0.8532, 0.3540], [0.1468, 0.3540, 0.5007], [0.7928, 0.1468, 0.6460], [0.5007, 0.1468, 0.3540], [0.1468, 0.6460, 0.7928], [0.0000, 0.0000, 0.0000], [0.0000, 0.0000, 0.5000], [0.0000, 0.5000, 0.0000], [0.5000, 0.5000, 0.5000], [0.5000, 0.0000, 0.0000]]
}


[2]
{
  "formula": "Dy3Al5Zn6",
  "functional": "PBE-GGA",
  "state": "relaxed",
  "lattice_angstrom": [[-0.2731, 3.4923, -2.4111], [-0.6616, -5.5553, -7.9716], [-12.3994, -0.1750, 1.1510]],
  "species": ["Dy", "Dy", "Dy", "Dy", "Dy", "Dy", "Al", "Al", "Al", "Al", "Al", "Al", "Al", "Al", "Al", "Al", "Zn", "Zn", "Zn", "Zn", "Zn", "Zn", "Zn", "Zn", "Zn", "Zn", "Zn", "Zn"],
  "fractional_positions": [[0.5000, 0.7522, 0.5000], [0.0000, 0.2490, 0.3075], [0.0000, 0.2478, 0.0000], [0.5000, 0.7510, 0.1925], [0.0000, 0.2490, 0.6925], [0.5000, 0.7510, 0.8075], [0.5000, 0.4784, 0.3544], [0.0000, 0.8857, 0.3404], [0.0000, 0.8857, 0.6596], [0.5000, 0.1143, 0.1596], [0.0000, 0.5216, 0.1456], [0.5000, 0.2540, 0.5000], [0.0000, 0.7460, 0.0000], [0.0000, 0.5216, 0.8544], [0.5000, 0.1143, 0.8404], [0.5000, 0.4784, 0.6456], [0.0000, 0.9697, 0.8630], [0.0000, 0.0520, 0.5000], [0.0000, 0.4547, 0.5000], [0.5000, 0.3739, 0.8440], [0.5000, 0.3739, 0.1560], [0.5000, 0.5453, 0.0000], [0.5000, 0.0303, 0.3630], [0.0000, 0.6261, 0.3440], [0.5000, 0.9480, 0.0000], [0.0000, 0.9697, 0.1370], [0.0000, 0.6261, 0.6560], [0.5000, 0.0303, 0.6370]]
}


[3]
{
  "formula": "DyAlZn",
  "functional": "PBE-GGA",
  "state": "relaxed",
  "lattice_angstrom": [[4.4773, 0.0000, 0.0000], [-2.2386, 3.8775, 0.0000], [0.0000, 0.0000, 7.1791]],
  "species": ["Al", "Al", "Dy", "Dy", "Zn", "Zn"],
  "fractional_positions": [[0.6667, 0.3333, 0.7500], [0.3333, 0.6667, 0.2500], [0.0000, 0.0000, 0.5000], [0.0000, 0.0000, 0.0000], [0.6667, 0.3333, 0.2500], [0.3333, 0.6667, 0.7500]]
}


[4]
{
  "formula": "Dy2AlZn16",
  "functional": "PBE-GGA",
  "state": "relaxed",
  "lattice_angstrom": [[6.7406, 0.0411, 0.8056], [0.7199, 6.7022, 0.8056], [0.0454, 0.0411, 6.7884]],
  "species": ["Zn", "Zn", "Zn", "Zn", "Zn", "Zn", "Zn", "Zn", "Zn", "Zn", "Zn", "Zn", "Zn", "Zn", "Zn", "Zn", "Dy", "Dy", "Al"],
  "fractional_positions": [[0.6998, 0.0000, 0.3000], [0.8356, 0.3519, 0.3519], [0.0011, 0.0011, 0.4974], [0.6478, 0.6478, 0.1628], [0.1006, 0.1006, 0.1006], [0.6998, 0.3000, 0.0000], [0.3000, 0.6998, 0.0000], [0.0011, 0.4974, 0.0011], [0.4974, 0.0011, 0.0011], [0.6478, 0.1628, 0.6478], [0.3519, 0.3519, 0.8356], [0.0000, 0.3000, 0.6998], [0.1628, 0.6478, 0.6478], [0.3519, 0.8356, 0.3519], [0.3000, 0.0000, 0.6998], [0.0000, 0.6998, 0.3000], [0.3348, 0.3348, 0.3348], [0.6649, 0.6649, 0.6649], [0.9028, 0.9028, 0.9028]]
}


[5]
{
  "formula": "Dy4AlZn2",
  "functional": "PBE-GGA",
  "state": "relaxed",
  "lattice_angstrom": [[4.7797, 0.0000, 1.4933], [2.1566, 4.2655, 1.4933], [-0.0542, -0.0333, 8.5694]],
  "species": ["Dy", "Dy", "Dy", "Dy", "Al", "Zn", "Zn"],
  "fractional_positions": [[0.6185, 0.6185, 0.1444], [0.8712, 0.8712, 0.3865], [0.1288, 0.1288, 0.6135], [0.3815, 0.3815, 0.8556], [0.0000, 0.0000, 0.0000], [0.7453, 0.7453, 0.7641], [0.2547, 0.2547, 0.2359]]
}


[6]
{
  "formula": "Dy6Al2Zn",
  "functional": "PBE-GGA",
  "state": "relaxed",
  "lattice_angstrom": [[-4.6018, -1.6783, 0.9623], [2.6788, -4.6924, 4.6261], [0.2784, 8.2289, 2.7172]],
  "species": ["Al", "Al", "Dy", "Dy", "Dy", "Dy", "Dy", "Dy", "Zn"],
  "fractional_positions": [[0.6660, 0.6663, 0.3326], [0.3340, 0.3337, 0.6674], [0.8350, 0.5878, 0.6697], [0.5000, 0.7551, 0.0000], [0.1650, 0.4122, 0.3303], [0.1650, 0.9181, 0.3303], [0.8350, 0.0819, 0.6697], [0.5000, 0.2449, 0.0000], [0.0000, 0.0000, 0.0000]]
}


[7]
{
  "formula": "Dy5Al2Zn",
  "functional": "PBE-GGA",
  "state": "relaxed",
  "lattice_angstrom": [[6.8689, 0.0000, -3.2425], [-1.5306, 6.6961, -3.2425], [0.1053, 0.1321, 9.1198]],
  "species": ["Al", "Al", "Al", "Al", "Dy", "Dy", "Dy", "Dy", "Dy", "Dy", "Dy", "Dy", "Dy", "Dy", "Zn", "Zn"],
  "fractional_positions": [[0.3793, 0.8793, 0.0000], [0.1207, 0.3793, 0.0000], [0.8793, 0.6207, 0.0000], [0.6207, 0.1207, 0.0000], [0.0000, 0.0000, 0.0000], [0.8206, 0.9782, 0.2988], [0.5000, 0.5000, 0.0000], [0.9782, 0.4782, 0.2988], [0.1794, 0.0218, 0.7012], [0.6794, 0.1794, 0.7012], [0.0218, 0.5218, 0.7012], [0.4782, 0.3206, 0.2988], [0.3206, 0.8206, 0.2988], [0.5218, 0.6794, 0.7012], [0.2500, 0.2500, 0.5000], [0.7500, 0.7500, 0.5000]]
}


[8]
{
  "formula": "Dy7Al2Zn2",
  "functional": "PBE-GGA",
  "state": "relaxed",
  "lattice_angstrom": [[-6.0380, -2.5058, -1.1019], [2.9609, -5.2015, -4.3961], [2.7644, -2.8935, 5.2855]],
  "species": ["Dy", "Dy", "Dy", "Dy", "Dy", "Dy", "Dy", "Zn", "Zn", "Al", "Al"],
  "fractional_positions": [[0.5000, 0.2818, 0.0000], [0.0000, 0.0000, 0.0000], [0.0000, 0.2818, 0.5000], [0.5000, 0.2541, 0.5000], [0.5000, 0.7459, 0.5000], [0.0000, 0.7182, 0.5000], [0.5000, 0.7182, 0.0000], [0.7102, 0.0000, 0.2898], [0.2898, 0.0000, 0.7102], [0.1709, 0.5000, 0.1709], [0.8291, 0.5000, 0.8291]]
}


[9]
{
  "formula": "DyAl2Zn9",
  "functional": "PBE-GGA",
  "state": "relaxed",
  "lattice_angstrom": [[-4.7902, -0.7732, 5.0793], [2.2307, -4.9606, 6.2059], [0.5088, 5.4584, 6.1680]],
  "species": ["Dy", "Dy", "Zn", "Zn", "Zn", "Zn", "Zn", "Zn", "Zn", "Zn", "Zn", "Zn", "Zn", "Zn", "Zn", "Zn", "Zn", "Zn", "Zn", "Zn", "Al", "Al", "Al", "Al"],
  "fractional_positions": [[0.5000, 0.0000, 0.0000], [0.2500, 0.5000, 0.5000], [0.3234, 0.0850, 0.6741], [0.0824, 0.3259, 0.9150], [0.5917, 0.0850, 0.3259], [0.7474, 0.5850, 0.8259], [0.0026, 0.6741, 0.9150], [0.7474, 0.8259, 0.5850], [0.1583, 0.4150, 0.1741], [0.5917, 0.3259, 0.0850], [0.0026, 0.9150, 0.6741], [0.1583, 0.1741, 0.4150], [0.4266, 0.8259, 0.4150], [0.3234, 0.6741, 0.0850], [0.6676, 0.1741, 0.5850], [0.4266, 0.4150, 0.8259], [0.7500, 0.5000, 0.5000], [0.0824, 0.9150, 0.3259], [0.6676, 0.5850, 0.1741], [0.0000, 0.0000, 0.0000], [0.8750, 0.2500, 0.7500], [0.8750, 0.2500, 0.2500], [0.3750, 0.7500, 0.7500], [0.8750, 0.7500, 0.2500]]
}


[10]
{
  "formula": "Dy4AlZn",
  "functional": "PBE-GGA",
  "state": "relaxed",
  "lattice_angstrom": [[-2.7983, -0.7136, -2.0986], [2.3460, 0.1707, -6.2225], [-2.5221, -7.4624, 2.8641]],
  "species": ["Dy", "Dy", "Dy", "Dy", "Zn", "Al"],
  "fractional_positions": [[0.3187, 0.0382, 0.3244], [0.6813, 0.9618, 0.6756], [0.8269, 0.5257, 0.8204], [0.1731, 0.4743, 0.1796], [0.5000, 0.5000, 0.5000], [0.0000, 0.0000, 0.0000]],
  "de_polymorph_ev_per_atom": 0.000
}


[11]
{
  "formula": "Dy2Al9Zn",
  "functional": "PBE-GGA",
  "state": "relaxed",
  "lattice_angstrom": [[-1.0551, -4.0862, 0.1291], [1.5966, -0.5346, -3.8720], [11.0773, -2.7041, 4.9410]],
  "species": ["Al", "Al", "Al", "Al", "Al", "Al", "Al", "Al", "Al", "Dy", "Dy", "Zn"],
  "fractional_positions": [[0.5000, 0.0000, 0.5000], [0.5000, 0.5000, 0.6692], [0.5000, 0.5000, 0.0000], [0.0000, 0.5000, 0.1490], [0.5000, 0.0000, 0.8510], [0.5000, 0.0000, 0.1490], [0.5000, 0.5000, 0.3308], [0.0000, 0.5000, 0.5000], [0.0000, 0.5000, 0.8510], [0.0000, 0.0000, 0.6726], [0.0000, 0.0000, 0.3274], [0.0000, 0.0000, 0.0000]]
}


[12]
{
  "formula": "Dy3Al9Zn2",
  "functional": "PBE-GGA",
  "state": "relaxed",
  "lattice_angstrom": [[-0.0442, 1.9608, 3.8143], [-6.2230, -3.5084, 4.1429], [3.6628, -5.2922, 5.1744]],
  "species": ["Zn", "Zn", "Al", "Al", "Al", "Al", "Al", "Al", "Al", "Al", "Al", "Dy", "Dy", "Dy"],
  "fractional_positions": [[0.5000, 0.7043, 0.2957], [0.5000, 0.2957, 0.7043], [0.6576, 0.7148, 0.9700], [0.3424, 0.0300, 0.2852], [0.8617, 0.4160, 0.8606], [0.3424, 0.2852, 0.0300], [0.1383, 0.5840, 0.1394], [0.8617, 0.8606, 0.4160], [0.0000, 0.5000, 0.5000], [0.1383, 0.1394, 0.5840], [0.6576, 0.9700, 0.7148], [0.0000, 0.0000, 0.0000], [0.6861, 0.3139, 0.3139], [0.3139, 0.6861, 0.6861]]
}


[13]
{
  "formula": "Dy2Al3Zn6",
  "functional": "PBE-GGA",
  "state": "relaxed",
  "lattice_angstrom": [[4.0146, 0.0000, 0.0000], [0.0000, 7.2540, -0.4471], [0.0000, 0.3518, 7.2593]],
  "species": ["Zn", "Zn", "Zn", "Zn", "Zn", "Zn", "Dy", "Dy", "Al", "Al", "Al"],
  "fractional_positions": [[0.5000, 0.6158, 0.6158], [0.5000, 0.3842, 0.3842], [0.5000, 0.0343, 0.3443], [0.5000, 0.9657, 0.6557], [0.5000, 0.3443, 0.0343], [0.5000, 0.6557, 0.9657], [0.0000, 0.7188, 0.2812], [0.0000, 0.2812, 0.7188], [0.5000, 0.0000, 0.0000], [0.0000, 0.2034, 0.2034], [0.0000, 0.7966, 0.7966]]
}


[14]
{
  "formula": "Dy2Al3Zn2",
  "functional": "PBE-GGA",
  "state": "relaxed",
  "lattice_angstrom": [[-1.0995, -4.1785, -0.6741], [5.6327, -2.0476, 3.5052], [-4.4249, 2.1070, 8.3414]],
  "species": ["Dy", "Dy", "Dy", "Dy", "Zn", "Zn", "Zn", "Zn", "Al", "Al", "Al", "Al", "Al", "Al"],
  "fractional_positions": [[0.8414, 0.7500, 0.6828], [0.1586, 0.2500, 0.3172], [0.0468, 0.7500, 0.0936], [0.9532, 0.2500, 0.9064], [0.3130, 0.4383, 0.6260], [0.3130, 0.0617, 0.6260], [0.6870, 0.5617, 0.3740], [0.6870, 0.9383, 0.3740], [0.4383, 0.5680, 0.8767], [0.5617, 0.0680, 0.1233], [0.4383, 0.9320, 0.8767], [0.7786, 0.2500, 0.5572], [0.2214, 0.7500, 0.4428], [0.5617, 0.4320, 0.1233]],
  "de_polymorph_ev_per_atom": 0.013
}


[15]
{
  "formula": "DyAlZn",
  "functional": "PBE-GGA",
  "state": "relaxed",
  "lattice_angstrom": [[-2.9649, 3.4250, -0.4278], [-1.9098, 0.8649, -4.0385], [-4.4142, -0.8817, -0.6647]],
  "species": ["Dy", "Zn", "Al"],
  "fractional_positions": [[0.0000, 0.0000, 0.0000], [0.2500, 0.2500, 0.2500], [0.5000, 0.5000, 0.5000]]
}


[16]
{
  "formula": "Dy2Al3Zn",
  "functional": "PBE-GGA",
  "state": "relaxed",
  "lattice_angstrom": [[3.5393, 0.0000, 0.0000], [0.0000, 4.5061, 0.0000], [0.0000, 0.0000, 7.8363]],
  "species": ["Dy", "Dy", "Zn", "Al", "Al", "Al"],
  "fractional_positions": [[0.0000, 0.5000, 0.0000], [0.0000, 0.0000, 0.5001], [0.5000, 0.5000, 0.3323], [0.5000, 0.0000, 0.8342], [0.5000, 0.5000, 0.6619], [0.5000, 0.0000, 0.1714]]
}


[17]
{
  "formula": "Dy6Al3Zn",
  "functional": "PBE-GGA",
  "state": "relaxed",
  "lattice_angstrom": [[5.1129, 0.0000, 0.0000], [0.0000, 8.5331, -2.9132], [0.0000, -0.0128, 11.3854]],
  "species": ["Dy", "Dy", "Dy", "Dy", "Dy", "Dy", "Dy", "Dy", "Dy", "Dy", "Dy", "Dy", "Al", "Al", "Al", "Al", "Al", "Al", "Zn", "Zn"],
  "fractional_positions": [[0.2500, 0.2472, 0.5003], [0.2500, 0.8410, 0.3123], [0.7500, 0.3375, 0.3319], [0.2500, 0.1077, 0.8715], [0.7500, 0.8687, 0.8443], [0.2500, 0.4652, 0.0874], [0.7500, 0.1590, 0.6877], [0.7500, 0.7528, 0.4997], [0.2500, 0.1313, 0.1557], [0.2500, 0.6625, 0.6681], [0.7500, 0.8923, 0.1285], [0.7500, 0.5348, 0.9126], [0.7500, 0.6123, 0.2189], [0.2500, 0.7695, 0.9672], [0.2500, 0.5297, 0.3765], [0.7500, 0.2305, 0.0328], [0.2500, 0.3877, 0.7811], [0.7500, 0.4703, 0.6235], [0.7500, 0.0400, 0.4031], [0.2500, 0.9600, 0.5969]]
}


[18]
{
  "formula": "Dy3Al3Zn2",
  "functional": "PBE-GGA",
  "state": "relaxed",
  "lattice_angstrom": [[-3.4090, -0.6830, 2.7749], [0.5738, -4.1806, -3.8895], [8.9202, -7.2998, 9.1622]],
  "species": ["Dy", "Dy", "Dy", "Dy", "Dy", "Dy", "Zn", "Zn", "Zn", "Zn", "Al", "Al", "Al", "Al", "Al", "Al"],
  "fractional_positions": [[0.0897, 0.1793, 0.6107], [0.6372, 0.2744, 0.2500], [0.9103, 0.8207, 0.3893], [0.9103, 0.8207, 0.1107], [0.0897, 0.1793, 0.8893], [0.3628, 0.7256, 0.7500], [0.2057, 0.4114, 0.1004], [0.7943, 0.5886, 0.8996], [0.2057, 0.4114, 0.3996], [0.7943, 0.5886, 0.6004], [0.3850, 0.7701, 0.9613], [0.6568, 0.3136, 0.7500], [0.3850, 0.7701, 0.5387], [0.6150, 0.2299, 0.4613], [0.6150, 0.2299, 0.0387], [0.3432, 0.6864, 0.2500]]
}


[19]
{
  "formula": "Dy3Al7Zn2",
  "functional": "PBE-GGA",
  "state": "relaxed",
  "lattice_angstrom": [[5.2779, 0.0000, 1.6520], [2.3804, 4.7106, 1.6520], [0.0123, 0.0076, 9.2179]],
  "species": ["Dy", "Dy", "Dy", "Zn", "Zn", "Al", "Al", "Al", "Al", "Al", "Al", "Al"],
  "fractional_positions": [[0.1409, 0.1409, 0.5772], [0.0000, 0.0000, 0.0000], [0.8591, 0.8591, 0.4228], [0.6648, 0.6648, 0.0055], [0.3352, 0.3352, 0.9945], [0.9240, 0.4148, 0.2463], [0.4148, 0.4148, 0.2463], [0.5852, 0.5852, 0.7537], [0.0760, 0.5852, 0.7537], [0.5000, 0.5000, 0.5000], [0.4148, 0.9240, 0.2463], [0.5852, 0.0760, 0.7537]]
}


Let's list DFT total energy in order: -30.86 -91.17 -21.95 -37.69 -26.18 -36.41 -67.45 -42.32 -50.31 -24.74 -47.00 -55.09 -29.75 -51.59 -10.60 -24.59 -85.95 -62.06 -47.58 eV for the cell shown.